A:
HfHgBr2: relaxed, PBE-GGA.

Structure (POSCAR):
```
HfHgBr2
1.0
9.4504 0.0000 0.0000
0.0000 9.4504 0.0000
4.7252 4.7252 2.9766
Hf Hg Br
2 2 4
Direct
0.5000 0.5000 0.0000
0.2500 0.7500 0.5000
0.0000 0.0000 0.0000
0.7500 0.2500 0.5000
0.4830 0.1250 0.2500
0.2670 0.6250 0.2500
0.3750 0.5170 0.7500
0.8750 0.7330 0.7500
```

***

B:
HfHgBr2: relaxed, PBE-GGA.

Structure (POSCAR):
```
HfHgBr2
1.0
8.5734 7.4285 4.4492
9.9088 7.0091 1.0815
7.3716 9.5463 1.7342
Hf Hg Br
1 1 2
Direct
0.0000 0.0000 0.0000
0.5000 0.5000 0.5000
0.9317 0.9317 0.9317
0.0683 0.0683 0.0683
```

***

Least stable structure: B

***

A:
HoTmNi2: relaxed, PBE-GGA.

Structure (POSCAR):
```
HoTmNi2
1.0
-1.6775 -3.1068 -1.1395
-0.9053 -0.9561 3.9395
-3.5203 4.0591 0.1761
Ho Tm Ni
1 1 2
Direct
0.7229 0.0000 0.9852
0.4439 0.5000 0.4261
0.1546 0.5000 0.8486
0.0097 0.0000 0.5581
```

***

B:
HoTmNi2: relaxed, PBE-GGA.

Structure (POSCAR):
```
HoTmNi2
1.0
-1.1957 2.4197 1.8894
0.7991 -2.6352 3.8806
4.3613 1.8667 0.3695
Ni Tm Ho
2 1 1
Direct
0.0000 0.0000 0.5000
0.0000 0.5000 0.0000
0.5000 0.0000 0.0000
0.5000 0.5000 0.5000
```

***

Least stable structure: B

***

A:
SnB: relaxed, PBE-GGA.

Structure (POSCAR):
```
SnB
1.0
-3.6080 -5.0499 4.4064
-1.6176 -1.0554 -2.5341
4.0007 -3.7013 -1.0122
B Sn
4 4
Direct
0.9083 0.0000 0.2823
0.9083 0.5000 0.7823
0.9045 0.0000 0.9484
0.9045 0.5000 0.4484
0.1625 0.0000 0.6039
0.1625 0.5000 0.1039
0.5958 0.0000 0.2972
0.5958 0.5000 0.7972
```

***

B:
SnB: relaxed, PBE-GGA.

Structure (POSCAR):
```
SnB
1.0
-1.7509 -1.4393 -2.2115
0.1107 -5.5335 3.5139
-9.1948 3.1408 5.2357
Sn B
6 6
Direct
0.0000 0.6341 0.8327
0.5000 0.3659 0.6673
0.5000 0.3659 0.3327
0.0000 0.6341 0.1673
0.0000 0.8433 0.5000
0.5000 0.1567 0.0000
0.0000 0.9662 0.7460
0.5000 0.0338 0.7540
0.5000 0.0338 0.2460
0.0000 0.9662 0.2540
0.0000 0.4366 0.0000
0.5000 0.5634 0.5000
```

***

Least stable structure: B

***

A:
ScAg2W: relaxed, PBE-GGA.

Structure (POSCAR):
```
ScAg2W
1.0
2.8528 0.0000 0.0000
0.0000 2.8528 0.0000
0.0000 0.0000 8.8588
Ag Sc W
2 1 1
Direct
0.0000 0.0000 0.9953
0.5000 0.5000 0.2451
0.0000 0.0000 0.5066
0.5000 0.5000 0.7531
```

***

B:
ScAg2W: relaxed, PBE-GGA.

Structure (POSCAR):
```
ScAg2W
1.0
-3.2345 4.2052 -2.5176
-4.4884 -1.2151 -3.5864
2.5868 -0.2697 5.2650
Ag Sc W
2 1 1
Direct
0.0109 0.0109 0.0000
0.4891 0.4891 0.0000
0.7500 0.2500 0.5000
0.2500 0.7500 0.5000
```

***

Least stable structure: B